A relaxed LiTb4Cu3 crystal. Source: Alexandria, functional PBE.

Cell lengths 8.6413, 8.6413, 8.6413 Å; angles 33.51, 33.51, 33.51 degrees
With the nearest neighbours (Å) after each atom.
Sites, in units of the cell vectors:
Li  0.0000  0.0000  0.0000  8 Tb 3.09-3.16, 6 Cu 3.44
Tb  0.1293  0.1293  0.1293  7 Cu 3.02-3.15, 1 Li 3.16
Tb  0.3794  0.3794  0.3794  5 Cu 2.95-3.01, 3 Li 3.09
Tb  0.6206  0.6206  0.6206  5 Cu 2.95-3.01, 3 Li 3.09
Tb  0.8707  0.8707  0.8707  7 Cu 3.02-3.15, 1 Li 3.16
Cu  0.2563  0.2563  0.2563  8 Tb 2.97-3.15
Cu  0.5000  0.5000  0.5000  8 Tb 2.95-3.02
Cu  0.7437  0.7437  0.7437  8 Tb 2.97-3.15

Results
Fermi-level density of states = 5.7 states/eV/f.u.
E_form = -0.15 eV/atom
density = 7.90 g/cm³
crystal system = trigonal